(1)
Nb2FeBi | Alexandria via LeMat-Bulk | PBE-GGA | relaxed; ΔE_f = 0.69 eV/atom; uncorrected energy = -7.43 eV/atom
1.0
-3.952 -0.187 0.067
0.168 -3.855 -0.876
-1.618 -4.269 9.540
Nb Fe Bi
4 2 2
Cartesian
-2.631 -4.737 6.847 Nb
-0.813 -3.501 1.846 Nb
-2.833 -1.665 2.317 Nb
-4.525 -6.719 6.452 Nb
-1.671 -5.072 4.130 Fe
-1.892 -2.021 -0.405 Fe
0.000 0.000 0.000 Bi
-3.730 -3.239 4.601 Bi

(2)
Hf2MgBe2Ir5 | Alexandria via LeMat-Bulk | PBE-GGA | relaxed; ΔE_f = -0.81 eV/atom; uncorrected energy = -8.13 eV/atom
1.0
3.200 0.000 0.000
0.000 9.462 0.000
0.000 0.000 9.462
Be Hf Ir Mg
4 4 10 2
Cartesian
0.000 8.307 3.576 Be
0.000 1.155 5.886 Be
0.000 3.576 1.155 Be
0.000 5.886 8.307 Be
0.000 6.402 1.672 Hf
0.000 1.672 3.059 Hf
0.000 3.059 7.790 Hf
0.000 7.790 6.402 Hf
1.600 2.022 0.660 Ir
1.600 4.071 2.709 Ir
1.600 0.000 4.731 Ir
1.600 4.731 0.000 Ir
1.600 6.753 4.071 Ir
1.600 2.709 5.391 Ir
1.600 7.439 8.802 Ir
1.600 8.802 2.022 Ir
1.600 5.391 6.753 Ir
1.600 0.660 7.439 Ir
0.000 0.000 0.000 Mg
0.000 4.731 4.731 Mg

Q: Which formula does entry 2 have?
A: Hf2MgBe2Ir5